# VPdF2

A geometry-optimized VPdF2 structure (PBE with a Hubbard U, Alexandria via LeMat-Bulk). Values from VASP.

Output
Its space group is No. 225. The value obtained for the total energy is -4.744 eV/atom.

Geometry as Quantum ESPRESSO input:
```
&SYSTEM
  ibrav = 0, nat = 4, ntyp = 3
/
ATOMIC_SPECIES
V 50.94 V.upf
Pd 106.42 Pd.upf
F 19.00 F.upf
ATOMIC_POSITIONS crystal
V 0.0000 0.0000 0.0000
Pd 0.5000 0.5000 0.5000
F 0.2500 0.2500 0.2500
F 0.7500 0.7500 0.7500
CELL_PARAMETERS angstrom
0.0000 2.9565 2.9565
2.9565 0.0000 2.9565
2.9565 2.9565 0.0000
```